Record 1
The following is a PBE calculation of a relaxed structure of TbCe2Ir, from the Alexandria database.

Unit cell a=3.712 b=3.712 c=7.481 alpha=90.00 beta=90.00 gamma=90.00
Fractional coordinates of all 4 atoms:
1 Ir 0.500 0.500 0.000
2 Tb 0.500 0.500 0.500
3 Ce 0.000 0.000 0.808
4 Ce 0.000 0.000 0.192

Calculated values
Energy above the lowest structure with this stoichiometry in kJ/mol of formula units: 56
E in eV per cell: -26.51
Formation energy from the elements in eV/atom: -0.287
Space-group type: P4/mmm, No. 123

Record 2
The following is a PBE calculation of a relaxed structure of CaAg2Pt, from the Alexandria database.

Unit cell a=3.721 b=3.721 c=5.812 alpha=90.00 beta=90.00 gamma=90.00
Fractional coordinates of all 4 atoms:
1 Ca 0.500 0.500 0.250
2 Ag 0.000 0.000 0.983
3 Ag 0.000 0.000 0.517
4 Pt 0.500 0.500 0.750

Calculated values
E in eV per cell: -14.46
Formation energy from the elements in eV/atom: -0.179
Space-group type: P4/mmm, No. 123

Record 3
The following is a PBE calculation of a relaxed structure of TbTh6Sc8, from the Alexandria database.

Unit cell a=9.209 b=9.209 c=7.855 alpha=54.11 beta=54.11 gamma=60.00
Fractional coordinates of all 15 atoms:
1 Tb 0.000 0.000 0.000
2 Th 0.433 0.178 0.772
3 Th 0.822 0.384 0.228
4 Th 0.384 0.567 0.228
5 Th 0.616 0.433 0.772
6 Th 0.178 0.616 0.772
7 Th 0.567 0.822 0.228
8 Sc 0.619 0.131 0.297
9 Sc 0.869 0.047 0.703
10 Sc 0.047 0.381 0.703
11 Sc 0.774 0.774 0.678
12 Sc 0.226 0.226 0.322
13 Sc 0.953 0.619 0.297
14 Sc 0.131 0.953 0.297
15 Sc 0.381 0.869 0.703

Calculated values
E in eV per cell: -97.06
Formation energy from the elements in eV/atom: 0.183
Space-group type: R-3, No. 148

Record 4
The following is a PBE calculation of a relaxed structure of Nd3Sm5In2, from the Alexandria database.

Unit cell a=6.585 b=10.714 c=10.714 alpha=93.57 beta=72.10 gamma=72.10
Fractional coordinates of all 20 atoms:
1 Nd 0.250 0.000 0.000
2 Nd 0.750 0.000 0.000
3 Nd 0.383 0.356 0.877
4 Nd 0.617 0.644 0.123
5 Nd 0.883 0.877 0.356
6 Nd 0.117 0.123 0.644
7 Sm 0.250 0.500 0.500
8 Sm 0.750 0.500 0.500
9 Sm 0.502 0.748 0.748
10 Sm 0.998 0.252 0.252
11 Sm 0.498 0.252 0.252
12 Sm 0.002 0.748 0.748
13 Sm 0.124 0.539 0.214
14 Sm 0.876 0.461 0.786
15 Sm 0.624 0.214 0.539
16 Sm 0.376 0.786 0.461
17 In 0.133 0.721 0.013
18 In 0.867 0.279 0.987
19 In 0.633 0.013 0.721
20 In 0.367 0.987 0.279

Calculated values
E in eV per cell: -85.74
Formation energy from the elements in eV/atom: 0.051
Space-group type: Ibam, No. 72